[1]
VASP calculation (GGA-PBE) on a relaxed Tl2ZnInF6 crystal.

- Density of states at the Fermi level: 4.278 states/eV/f.u.
- Formation energy from raw total energies: -2017 meV per atom
- Total magnetic moment: 0.0405 μB/atom
- Mass density: 6.89 g/cm3
- Calculated total energy: -0.295 Ry per atom
- Space group: No. 59

a = 6.205 Å, b = 6.216 Å, c = 8.783 Å
α = 90.00°, β = 90.00°, γ = 90.00°
Element x y z (fractional)
1 F 0.738 0.013 0.000
2 Tl 0.500 0.750 0.750
3 Zn 0.000 0.749 0.500
4 Zn 0.500 0.251 0.000
5 F 0.738 0.488 0.000
6 Tl 0.000 0.250 0.750
7 F 0.500 0.251 0.762
8 F 0.762 0.987 0.500
9 In 0.500 0.249 0.500
10 F 0.000 0.749 0.738
11 F 0.000 0.749 0.262
12 F 0.238 0.987 0.500
13 F 0.762 0.512 0.500
14 Tl 0.000 0.250 0.250
15 F 0.262 0.013 0.000
16 In 0.000 0.751 0.000
17 F 0.500 0.251 0.238
18 F 0.262 0.488 0.000
19 Tl 0.500 0.750 0.250
20 F 0.238 0.512 0.500

[2]
VASP calculation (GGA-PBE) on a relaxed TlZn2InF crystal.

- Density of states at the Fermi level: 1.736 states/eV/f.u.
- Formation energy from raw total energies: -279 meV per atom
- Total magnetic moment: 0.0000 μB/atom
- Mass density: 6.73 g/cm3
- Calculated total energy: -0.160 Ry per atom
- Space group: No. 123

a = 4.719 Å, b = 5.198 Å, c = 4.719 Å
α = 90.00°, β = 90.00°, γ = 90.00°
Element x y z (fractional)
1 Zn 0.000 0.000 0.500
2 In 0.500 0.500 0.500
3 F 0.000 0.000 0.000
4 Zn 0.500 0.000 0.000
5 Tl 0.000 0.500 0.000

[3]
VASP calculation (GGA-PBE) on a relaxed TlZn2InF8 crystal.

- Density of states at the Fermi level: 0.000 states/eV/f.u.
- Formation energy from raw total energies: -2235 meV per atom
- Total magnetic moment: 0.0000 μB/atom
- Mass density: 5.00 g/cm3
- Calculated total energy: -0.303 Ry per atom
- Space group: No. 148

a = 5.350 Å, b = 5.350 Å, c = 8.633 Å
α = 71.95°, β = 71.95°, γ = 60.00°
Element x y z (fractional)
1 Zn 0.251 0.251 0.247
2 F 0.953 0.627 0.153
3 F 0.174 0.174 0.479
4 In 0.000 0.000 0.000
5 F 0.047 0.373 0.847
6 Tl 0.500 0.500 0.500
7 F 0.627 0.266 0.153
8 F 0.373 0.734 0.847
9 F 0.826 0.826 0.521
10 F 0.266 0.953 0.153
11 F 0.734 0.047 0.847
12 Zn 0.749 0.749 0.753

[4]
VASP calculation (GGA-PBE) on a relaxed TlZn2InF6 crystal.

- Formation energy from raw total energies: -2025 meV per atom
- Total magnetic moment: 0.0000 μB/atom
- Mass density: 5.98 g/cm3
- Calculated total energy: -0.288 Ry per atom
- Space group: No. 15

a = 5.460 Å, b = 7.603 Å, c = 7.603 Å
α = 82.81°, β = 88.94°, γ = 88.94°
Element x y z (fractional)
1 F 0.997 0.772 0.772
2 In 0.750 0.596 0.404
3 Zn 0.752 0.099 0.398
4 F 0.010 0.602 0.129
5 Zn 0.248 0.901 0.602
6 F 0.503 0.228 0.228
7 Tl 0.250 0.902 0.098
8 F 0.479 0.395 0.875
9 F 0.521 0.605 0.125
10 F 0.510 0.129 0.602
11 In 0.250 0.404 0.596
12 Zn 0.252 0.398 0.099
13 Zn 0.748 0.602 0.901
14 F 0.021 0.125 0.605
15 F 0.003 0.228 0.228
16 F 0.490 0.871 0.398
17 F 0.497 0.772 0.772
18 F 0.990 0.398 0.871
19 F 0.979 0.875 0.395
20 Tl 0.750 0.098 0.902

[5]
VASP calculation (GGA-PBE) on a relaxed Tl4Zn3InF12 crystal.

- Density of states at the Fermi level: 3.490 states/eV/f.u.
- Formation energy from raw total energies: -2058 meV per atom
- Total magnetic moment: 0.0490 μB/atom
- Mass density: 7.09 g/cm3
- Calculated total energy: -0.293 Ry per atom
- Space group: No. 229

a = 7.445 Å, b = 7.445 Å, c = 7.445 Å
α = 109.47°, β = 109.47°, γ = 109.47°
Element x y z (fractional)
1 F 0.750 0.500 0.250
2 Zn 0.500 0.000 0.500
3 Tl 0.000 0.500 0.000
4 F 0.735 0.000 0.735
5 In 0.000 0.000 0.000
6 Zn 0.500 0.500 0.000
7 F 0.000 0.265 0.265
8 Zn 0.000 0.500 0.500
9 F 0.750 0.250 0.500
10 F 0.735 0.735 0.000
11 Tl 0.500 0.000 0.000
12 Tl 0.500 0.500 0.500
13 F 0.500 0.250 0.750
14 F 0.250 0.750 0.500
15 Tl 0.000 0.000 0.500
16 F 0.265 0.000 0.265
17 F 0.265 0.265 0.000
18 F 0.500 0.750 0.250
19 F 0.250 0.500 0.750
20 F 0.000 0.735 0.735

[6]
VASP calculation (GGA-PBE) on a relaxed ZrTlInF6 crystal.

- Density of states at the Fermi level: 0.000 states/eV/f.u.
- Formation energy from raw total energies: -2840 meV per atom
- Total magnetic moment: 0.0000 μB/atom
- Mass density: 4.45 g/cm3
- Calculated total energy: -0.412 Ry per atom
- Space group: No. 1

a = 6.669 Å, b = 6.668 Å, c = 5.119 Å
α = 90.03°, β = 89.97°, γ = 59.29°
Element x y z (fractional)
1 Zr 0.334 0.334 0.500
2 F 0.328 0.081 0.723
3 In 0.998 0.998 0.000
4 Tl 0.665 0.665 0.499
5 F 0.598 0.078 0.280
6 F 0.077 0.598 0.721
7 F 0.325 0.594 0.277
8 F 0.081 0.327 0.278
9 F 0.593 0.326 0.723

[7]
VASP calculation (GGA-PBE) on a relaxed TmIn2F11 crystal.

- Density of states at the Fermi level: 11.301 states/eV/f.u.
- Formation energy from raw total energies: -2517 meV per atom
- Total magnetic moment: 0.1518 μB/atom
- Mass density: 4.66 g/cm3
- Calculated total energy: -0.345 Ry per atom
- Space group: No. 72

a = 8.042 Å, b = 8.378 Å, c = 8.378 Å
α = 73.63°, β = 61.32°, γ = 61.32°
Element x y z (fractional)
1 F 0.653 0.711 0.558
2 F 0.578 0.211 0.058
3 F 0.894 0.807 0.193
4 F 0.078 0.558 0.711
5 F 0.960 0.814 0.471
6 In 0.665 0.692 0.308
7 F 0.540 0.029 0.686
8 In 0.165 0.808 0.192
9 In 0.335 0.308 0.692
10 F 0.394 0.693 0.307
11 F 0.745 0.686 0.029
12 F 0.040 0.186 0.529
13 F 0.000 0.000 0.000
14 F 0.347 0.289 0.442
15 F 0.460 0.971 0.314
16 In 0.835 0.192 0.808
17 F 0.106 0.193 0.807
18 F 0.922 0.442 0.289
19 F 0.422 0.789 0.942
20 F 0.500 0.500 0.500
21 F 0.606 0.307 0.693
22 Tm 0.750 0.750 0.750
23 F 0.255 0.314 0.971
24 F 0.245 0.529 0.186
25 F 0.153 0.058 0.211
26 F 0.755 0.471 0.814
27 Tm 0.250 0.250 0.250
28 F 0.847 0.942 0.789

[8]
VASP calculation (GGA-PBE) on a relaxed TmInF crystal.

- Density of states at the Fermi level: 1.448 states/eV/f.u.
- Formation energy from raw total energies: -1835 meV per atom
- Total magnetic moment: 0.0000 μB/atom
- Mass density: 7.67 g/cm3
- Calculated total energy: -0.357 Ry per atom
- Space group: No. 12

a = 3.744 Å, b = 6.504 Å, c = 7.280 Å
α = 50.94°, β = 75.10°, γ = 73.27°
Element x y z (fractional)
1 In 0.043 0.187 0.727
2 Tm 0.686 0.340 0.288
3 F 0.267 0.349 0.117
4 F 0.733 0.651 0.883
5 In 0.957 0.813 0.273
6 Tm 0.314 0.660 0.712